8
Lattice="-0.6370 -1.7731 3.6712 5.3092 -4.5152 -1.2595 3.1193 6.4403 3.6516" Properties=species:S:1:pos:R:3 comment="K2NdCrSe4 (PBE, relaxed)" formation_energy_uncorrected_ev_per_atom=-1.206 pbc="T T T"
K 1.2412 2.3336 3.6614
K 4.2143 0.9625 1.1961
Nd 0.0000 0.0000 0.0000
Se 1.7240 -0.7697 2.2464
Se 6.0676 0.9217 3.8169
Se 4.1329 3.8777 2.5899
Se 4.2956 -1.9526 -0.1977
Cr 2.3361 -3.1441 1.2058


15
Lattice="8.3525 -0.0008 -0.0006 -4.1770 7.2386 -0.0334 -0.0001 -4.7934 7.9421" Properties=species:S:1:pos:R:3 comment="K3Nd3CrSe8 (PBE, relaxed)" formation_energy_uncorrected_ev_per_atom=-1.397 pbc="T T T"
Se 2.3208 3.7759 5.4604
Se -2.3226 3.7764 5.4604
Se 1.8546 -1.3316 2.4477
Se -0.0004 -0.2465 5.4795
Se 6.4980 -1.3321 2.4477
Se 4.1758 0.0224 5.6558
Se -0.0004 2.4220 2.2523
Se 4.1758 2.6908 2.4286
Cr -0.0001 -2.3967 3.9711
K -2.0885 3.6193 -0.0167
K 0.0000 0.0000 0.0000
K 2.0878 3.6189 -0.0170
Nd -2.0886 1.2226 3.9544
Nd 2.0877 1.2222 3.9540
Nd 4.1762 -2.3971 3.9707


4
Lattice="-0.4721 -0.3665 4.4384 -3.7396 -2.3916 -0.5953 2.8788 -4.4854 -0.0641" Properties=species:S:1:pos:R:3 comment="K2CrNi (PBE, relaxed)" relative_energy_mev_per_atom=446.4 formation_energy_ev_per_atom=1.101 pbc="T T T"
Cr -0.4304 -3.4385 -0.3297
Ni 1.2033 -2.4259 2.1872
K -2.1059 -1.3790 1.9216
K 0.0000 0.0000 0.0000


8
Lattice="7.2076 0.0000 0.0000 0.0000 7.2076 0.0000 3.6038 3.6038 3.1376" Properties=species:S:1:pos:R:3 comment="KCrNi2 (PBE, relaxed)" relative_energy_mev_per_atom=571.8 formation_energy_ev_per_atom=1.082 pbc="T T T"
Ni 5.4057 4.7949 2.3532
Ni 1.1911 5.4057 0.7844
Ni 6.0165 1.8019 0.7844
Ni 9.0095 9.6203 2.3532
K 3.6038 3.6038 0.0000
K 3.6038 7.2076 1.5688
Cr 0.0000 0.0000 0.0000
Cr 7.2076 3.6038 1.5688


4
Lattice="2.7213 0.0000 0.0000 0.0000 3.9266 0.0000 0.0000 0.0000 7.2506" Properties=species:S:1:pos:R:3 comment="KCr2Ni (PBE, relaxed)" relative_energy_mev_per_atom=148.7 formation_energy_ev_per_atom=0.824 pbc="T T T"
Ni 1.3606 1.9633 5.4379
Cr 0.0000 0.0000 6.3642
Cr 0.0000 0.0000 4.5116
K 1.3606 1.9633 1.8126


4
Lattice="10.1972 -0.0050 -0.0029 9.8590 2.6047 -0.0029 9.8590 1.2779 2.2696" Properties=species:S:1:pos:R:3 comment="KCr2Ni (PBE, relaxed)" relative_energy_mev_per_atom=426.4 formation_energy_ev_per_atom=1.102 pbc="T T T"
Ni 22.4364 2.9083 1.6979
K 7.4788 0.9694 0.5660
Cr 0.5124 0.0664 0.0388
Cr 14.4452 1.8724 1.0931


4
Lattice="-2.9832 0.5334 0.0408 -0.2814 -1.3682 -2.6897 -1.2117 -7.0619 3.7190" Properties=species:S:1:pos:R:3 comment="KCr2Ni (PBE, relaxed)" relative_energy_mev_per_atom=0.0 formation_energy_ev_per_atom=0.675 pbc="T T T"
Cr -1.2019 -7.0045 3.6888
Cr -1.8207 -1.5153 -0.7462
Ni -2.6435 -6.3108 1.7792
K -0.6278 -3.6590 1.9269


4
Lattice="4.0181 0.0000 0.0000 0.0000 2.7508 0.1858 0.0000 0.8203 6.9506" Properties=species:S:1:pos:R:3 comment="KCrNi2 (PBE, relaxed)" relative_energy_mev_per_atom=173.2 formation_energy_ev_per_atom=0.683 pbc="T T T"
K 2.0091 2.7846 5.4866
Ni 2.0091 0.3898 1.9536
Ni 0.0000 0.4662 0.6142
Cr 0.0000 1.7160 2.6501